1.
Compound: KCa3O
Source: Alexandria
Functional: GGA-PBE
Structure: optimized geometry

Its symmetry is Pm-3m. The calculation puts the energy above the most stable polymorph in this dataset at 1.966 eV per atom. The value obtained for the density of states at the Fermi level is 9.2 states/eV per cell.

Cell and atoms, written as POSCAR:
```
KCa3O
1.0
6.589 0.000 0.000
0.000 6.589 0.000
0.000 0.000 6.589
K Ca O
1 3 1
Cartesian
0.000 0.000 0.000 K
0.000 0.000 3.294 Ca
0.000 3.294 0.000 Ca
3.294 0.000 0.000 Ca
3.294 3.294 3.294 O
```

=====

2.
Compound: K3CaO
Source: Alexandria
Functional: GGA-PBE
Structure: optimized geometry

Its symmetry is Pm-3m. The calculation puts the energy above the most stable polymorph in this dataset at 1.115 eV per atom. The value obtained for the density of states at the Fermi level is 8.9 states/eV per cell.

Cell and atoms, written as POSCAR:
```
K3CaO
1.0
7.428 0.000 0.000
0.000 7.428 0.000
0.000 0.000 7.428
K Ca O
3 1 1
Cartesian
0.000 0.000 3.714 K
0.000 3.714 0.000 K
3.714 0.000 0.000 K
0.000 0.000 0.000 Ca
3.714 3.714 3.714 O
```

=====

ΔE_f (raw) for every record listed, in sequence, given in eV per atom: 1.22, 0.81.